[1]
! BaNi2Au2 SCAN PBEsol geometry; values from VASP
! * ΔH_f (0 K): -0.570 eV per formula unit
! * space group: I4/mmm, No. 139
&SYSTEM
  ibrav = 0, nat = 5, ntyp = 3
/
ATOMIC_SPECIES
Ni 58.69 Ni.upf
Au 196.97 Au.upf
Ba 137.33 Ba.upf
ATOMIC_POSITIONS angstrom
Ni 0.0000 2.1675 2.6612
Ni 2.1675 0.0000 2.6612
Au 0.0000 0.0000 3.9584
Au 2.1675 2.1675 1.3640
Ba 0.0000 0.0000 0.0000
CELL_PARAMETERS angstrom
4.3351 0.0000 0.0000
0.0000 4.3351 0.0000
-2.1675 -2.1675 5.3224

[2]
! ZrRe2Cl SCAN PBEsol geometry; values from VASP
! * space group: P4mm, No. 99
! * E_form (uncorrected): -0.13 eV/atom
&SYSTEM
  ibrav = 0, nat = 4, ntyp = 3
/
ATOMIC_SPECIES
Re 186.21 Re.upf
Zr 91.22 Zr.upf
Cl 35.45 Cl.upf
ATOMIC_POSITIONS angstrom
Re 0.2310 -0.1137 0.0676
Re 0.6689 -2.6256 -0.0647
Zr 3.2625 -1.6055 0.9553
Cl 3.9458 -4.2382 0.8949
CELL_PARAMETERS angstrom
-1.4884 -2.1320 1.4998
-0.0987 -1.6797 -2.4857
6.4636 -3.1808 1.8927

[3]
! TaCoN2O SCAN PBEsol geometry; values from VASP
! * space group: P4/mmm, No. 123
! * E_form (uncorrected): -0.21 eV/atom
&SYSTEM
  ibrav = 0, nat = 5, ntyp = 4
/
ATOMIC_SPECIES
N 14.01 N.upf
Co 58.93 Co.upf
O 16.00 O.upf
Ta 180.95 Ta.upf
ATOMIC_POSITIONS angstrom
N -0.1133 0.8142 1.8357
N -1.6821 -1.0428 0.3587
Co -2.8527 1.2315 1.4815
O -1.0572 1.4601 -0.7129
Ta 0.0000 0.0000 0.0000
CELL_PARAMETERS angstrom
-2.1145 2.9202 -1.4257
-3.3642 -2.0857 0.7173
-0.2267 1.6283 3.6714

[4]
! KTlSe2Br SCAN PBEsol geometry; values from VASP
! * space group: P4/mmm, No. 123
! * E_form (uncorrected): 0.08 eV/atom
&SYSTEM
  ibrav = 0, nat = 5, ntyp = 4
/
ATOMIC_SPECIES
K 39.10 K.upf
Tl 204.38 Tl.upf
Se 78.96 Se.upf
Br 79.90 Br.upf
ATOMIC_POSITIONS angstrom
K 0.0000 0.0000 0.0000
Tl -0.7396 -4.5119 2.1518
Se -1.1059 -2.3413 -1.3396
Se -1.7178 -0.5049 2.3007
Br 2.0842 -1.6656 1.1906
CELL_PARAMETERS angstrom
-3.4357 -1.0098 4.6015
-2.2118 -4.6827 -2.6791
4.1684 -3.3313 2.3812

[5]
! CaSn2HgOs SCAN PBEsol geometry; values from VASP
! * ΔH_f (0 K): 5.124 eV per formula unit
! * space group: P4/mmm, No. 123
&SYSTEM
  ibrav = 0, nat = 5, ntyp = 4
/
ATOMIC_SPECIES
Ca 40.08 Ca.upf
Os 190.23 Os.upf
Hg 200.59 Hg.upf
Sn 118.71 Sn.upf
ATOMIC_POSITIONS angstrom
Ca 2.5606 2.6688 2.6688
Os 2.5606 0.0000 0.0000
Hg 0.0000 0.0000 0.0000
Sn 0.0000 0.0000 2.6688
Sn 0.0000 2.6688 0.0000
CELL_PARAMETERS angstrom
5.1211 0.0000 0.0000
0.0000 5.3375 0.0000
0.0000 0.0000 5.3375

[6]
! ZnCdHg SCAN PBEsol geometry; values from VASP
! * ΔH_f (0 K): 0.158 eV per formula unit
! * space group: F-43m, No. 216
&SYSTEM
  ibrav = 0, nat = 3, ntyp = 3
/
ATOMIC_SPECIES
Zn 65.41 Zn.upf
Hg 200.59 Hg.upf
Cd 112.41 Cd.upf
ATOMIC_POSITIONS angstrom
Zn -2.0931 -1.5309 -0.8349
Hg -4.1863 -3.0618 -1.6698
Cd 0.0000 0.0000 0.0000
CELL_PARAMETERS angstrom
-2.0883 -1.6698 -3.5557
-1.8549 -4.0386 0.2028
-4.4294 -0.4153 0.0133

[7]
! LiAg2F4 SCAN PBEsol geometry; values from VASP
! * space group: Fddd, No. 70
! * E_form (uncorrected): -1.72 eV/atom
&SYSTEM
  ibrav = 0, nat = 14, ntyp = 3
/
ATOMIC_SPECIES
Li 6.94 Li.upf
Ag 107.87 Ag.upf
F 19.00 F.upf
ATOMIC_POSITIONS angstrom
Li -0.7927 -2.9985 2.8817
Li 0.0000 0.0000 0.0000
Ag -5.2222 0.2759 -0.4763
Ag -3.1680 -1.2427 1.0811
Ag -1.9438 -1.8465 -2.1105
Ag 0.1105 -3.3651 -0.5532
F -1.8866 -1.6334 3.4652
F -3.4560 0.4838 2.4611
F -3.8471 0.1169 -2.1408
F -1.7433 -0.4812 -0.3602
F -3.3684 -2.6080 -0.6693
F -1.2647 -3.2061 1.1113
F -4.8103 -1.8432 2.3573
F -6.3797 0.2740 1.3532
CELL_PARAMETERS angstrom
-4.3190 -0.0907 -3.9112
2.4857 -5.1210 1.2475
-3.1545 1.7298 5.8478

[8]
! Ta3Cr5N4 SCAN PBEsol geometry; values from VASP
! * space group: P4mm, No. 99
! * E_form (uncorrected): -0.83 eV/atom
&SYSTEM
  ibrav = 0, nat = 12, ntyp = 3
/
ATOMIC_SPECIES
Ta 180.95 Ta.upf
Cr 52.00 Cr.upf
N 14.01 N.upf
ATOMIC_POSITIONS angstrom
Ta -0.8806 -5.4750 7.9907
Ta -2.5412 -4.6322 5.1951
Ta -1.9066 -0.6862 -0.5640
Cr -0.4864 -3.0240 4.4135
Cr -1.1486 -7.1418 10.4233
Cr -2.2725 -2.9611 2.7562
Cr -2.9348 -7.0792 8.7664
Cr -0.2225 -1.3835 2.0192
N -0.0305 -0.1895 0.2766
N -0.6727 -4.1826 6.1044
N -2.1035 -1.9106 1.2230
N -2.7489 -5.9234 7.0796
CELL_PARAMETERS angstrom
-2.7791 0.9850 0.3686
-1.0167 -2.2498 -1.6536
-1.3018 -8.0942 11.8133

[9]
! Mg4Zn3Cu2 SCAN PBEsol geometry; values from VASP
! * ΔH_f (0 K): -1.216 eV per formula unit
! * space group: C2/m, No. 12
&SYSTEM
  ibrav = 0, nat = 9, ntyp = 3
/
ATOMIC_SPECIES
Cu 63.55 Cu.upf
Mg 24.30 Mg.upf
Zn 65.41 Zn.upf
ATOMIC_POSITIONS angstrom
Cu 4.6667 -1.0810 2.2303
Cu -0.8310 -5.1759 0.9235
Mg 2.3481 -1.3823 0.9542
Mg 1.4875 -4.8746 2.1995
Mg -0.3529 -2.4352 1.7233
Mg 4.1885 -3.8217 1.4305
Zn 0.7683 -3.7404 -0.3466
Zn 3.0673 -2.5164 3.5003
Zn 0.0000 0.0000 0.0000
CELL_PARAMETERS angstrom
-1.9108 -0.7302 3.6443
-1.1083 -5.1235 -1.6076
6.8547 -0.4032 1.1171

[10]
! NbAgRh2N SCAN PBEsol geometry; values from VASP
! * space group: P4/mmm, No. 123
! * E_form (uncorrected): 2.16 eV/atom
&SYSTEM
  ibrav = 0, nat = 5, ntyp = 4
/
ATOMIC_SPECIES
Nb 92.91 Nb.upf
Rh 102.91 Rh.upf
Ag 107.87 Ag.upf
N 14.01 N.upf
ATOMIC_POSITIONS angstrom
Nb 0.0000 0.0000 0.0000
Rh 1.7238 0.7811 1.3187
Rh -0.5840 -1.5003 1.6520
Ag -1.5885 1.7581 1.0351
N -0.4486 1.0390 4.0058
CELL_PARAMETERS angstrom
-1.1679 -3.0005 3.3040
3.4476 1.5623 2.6375
-3.1770 3.5161 2.0701

[11]
! LiTlW2 SCAN PBEsol geometry; values from VASP
! * ΔH_f (0 K): 2.826 eV per formula unit
! * space group: Imm2, No. 44
&SYSTEM
  ibrav = 0, nat = 4, ntyp = 3
/
ATOMIC_SPECIES
Li 6.94 Li.upf
Tl 204.38 Tl.upf
W 183.84 W.upf
ATOMIC_POSITIONS angstrom
Li 1.7528 2.3126 0.0035
Tl 0.0000 2.3126 1.8969
W 0.0000 0.0000 0.1481
W 1.7528 0.0000 2.0020
CELL_PARAMETERS angstrom
3.5056 0.0000 0.0000
0.0000 4.6251 0.0000
-1.7528 -2.3126 4.0504

[12]
! CoReSn2Rh SCAN PBEsol geometry; values from VASP
! * ΔH_f (0 K): 6.097 eV per formula unit
! * space group: P4/mmm, No. 123
&SYSTEM
  ibrav = 0, nat = 5, ntyp = 4
/
ATOMIC_SPECIES
Re 186.21 Re.upf
Rh 102.91 Rh.upf
Sn 118.71 Sn.upf
Co 58.93 Co.upf
ATOMIC_POSITIONS angstrom
Re 0.0000 0.0000 0.0000
Rh 2.3251 0.0000 0.0000
Sn 0.0000 0.0000 2.5277
Sn 0.0000 2.5277 0.0000
Co 2.3251 2.5277 2.5277
CELL_PARAMETERS angstrom
4.6502 0.0000 0.0000
0.0000 5.0555 0.0000
0.0000 0.0000 5.0555

[13]
! Y2Cl SCAN PBEsol geometry; values from VASP
! * space group: Fd-3m, No. 227
! * E_form (uncorrected): 0.19 eV/atom
&SYSTEM
  ibrav = 0, nat = 6, ntyp = 2
/
ATOMIC_SPECIES
Cl 35.45 Cl.upf
Y 88.91 Y.upf
ATOMIC_POSITIONS angstrom
Cl 1.5297 -7.6459 -1.1775
Cl 2.2945 -11.4688 -1.7662
Y 0.3824 -1.9115 -0.2944
Y -0.0711 -4.8886 0.8438
Y 2.7147 -4.1133 -0.5712
Y 0.0334 -4.3784 -2.3332
CELL_PARAMETERS angstrom
-0.6981 -4.9339 -4.0776
4.6646 -4.4037 -0.5537
-0.9071 -5.9542 2.2764

[14]
! BaTl2Se SCAN PBEsol geometry; values from VASP
! * space group: I-4m2, No. 119
! * E_form (uncorrected): -0.74 eV/atom
&SYSTEM
  ibrav = 0, nat = 4, ntyp = 3
/
ATOMIC_SPECIES
Ba 137.33 Ba.upf
Se 78.96 Se.upf
Tl 204.38 Tl.upf
ATOMIC_POSITIONS angstrom
Ba 2.4653 2.4653 0.0000
Se 0.0000 2.4653 2.4438
Tl 0.0000 0.0000 0.0000
Tl 2.4653 0.0000 2.4438
CELL_PARAMETERS angstrom
4.9306 0.0000 0.0000
0.0000 4.9306 0.0000
-2.4653 -2.4653 4.8876

[15]
! ZrCoI2O SCAN PBEsol geometry; values from VASP
! * space group: P4/mmm, No. 123
! * E_form (uncorrected): -0.59 eV/atom
&SYSTEM
  ibrav = 0, nat = 5, ntyp = 4
/
ATOMIC_SPECIES
I 126.90 I.upf
Co 58.93 Co.upf
O 16.00 O.upf
Zr 91.22 Zr.upf
ATOMIC_POSITIONS angstrom
I 0.0000 0.0000 2.8518
I 0.0000 2.8518 0.0000
Co 1.9613 2.8518 2.8518
O 1.9613 0.0000 0.0000
Zr 0.0000 0.0000 0.0000
CELL_PARAMETERS angstrom
3.9225 0.0000 0.0000
0.0000 5.7035 0.0000
0.0000 0.0000 5.7035

[16]
! Li2MnO2F SCAN PBEsol geometry; values from VASP
! * space group: Cc, No. 9
! * E_form (uncorrected): -2.46 eV/atom
&SYSTEM
  ibrav = 0, nat = 12, ntyp = 4
/
ATOMIC_SPECIES
Li 6.94 Li.upf
Mn 54.94 Mn.upf
O 16.00 O.upf
F 19.00 F.upf
ATOMIC_POSITIONS angstrom
Li 0.8870 -2.8328 1.3048
Li 1.4707 1.5884 3.7500
Li 2.1677 -0.1568 1.3955
Li 0.4692 -1.1991 3.5602
Mn 2.9869 2.4612 1.5711
Mn -0.8190 -3.6259 3.4768
O 2.2552 -1.7143 2.6988
O 3.8212 -0.9892 0.5178
O 0.2979 -2.8260 4.7785
O 3.1575 0.9957 2.7565
F 0.7805 -1.1979 0.2364
F 0.2744 0.6143 2.5476
CELL_PARAMETERS angstrom
-2.2326 0.7030 4.4725
0.6301 -5.0030 0.1012
3.9905 3.0412 0.5142

[17]
! Tc2TeMo SCAN PBEsol geometry; values from VASP
! * space group: C2/m, No. 12
! * E_form (uncorrected): 0.56 eV/atom
&SYSTEM
  ibrav = 0, nat = 4, ntyp = 3
/
ATOMIC_SPECIES
Mo 95.94 Mo.upf
Tc 98.00 Tc.upf
Te 127.60 Te.upf
ATOMIC_POSITIONS angstrom
Mo 1.5532 0.1430 1.9750
Tc -1.8820 1.7522 -0.1043
Tc -1.0637 0.6709 2.2453
Te -0.7349 -1.2244 0.3746
CELL_PARAMETERS angstrom
-1.4698 -2.4487 0.7491
3.1063 0.2860 3.9500
-3.7639 3.5044 -0.2085

[18]
! ScFeNiPd2 SCAN PBEsol geometry; values from VASP
! * ΔH_f (0 K): 5.681 eV per formula unit
! * space group: P4/mmm, No. 123
&SYSTEM
  ibrav = 0, nat = 5, ntyp = 4
/
ATOMIC_SPECIES
Sc 44.96 Sc.upf
Ni 58.69 Ni.upf
Fe 55.84 Fe.upf
Pd 106.42 Pd.upf
ATOMIC_POSITIONS angstrom
Sc 0.0000 0.0000 0.0000
Ni 2.1383 2.2950 2.2950
Fe 2.1383 0.0000 0.0000
Pd 0.0000 0.0000 2.2950
Pd 0.0000 2.2950 0.0000
CELL_PARAMETERS angstrom
4.2767 0.0000 0.0000
0.0000 4.5899 0.0000
0.0000 0.0000 4.5899

[19]
! CaLaTe2 SCAN PBEsol geometry; values from VASP
! * space group: R3m, No. 160
! * E_form (uncorrected): -1.74 eV/atom
&SYSTEM
  ibrav = 0, nat = 4, ntyp = 3
/
ATOMIC_SPECIES
Ca 40.08 Ca.upf
Te 127.60 Te.upf
La 138.91 La.upf
ATOMIC_POSITIONS angstrom
Ca 4.3513 2.5122 5.8100
Te 2.1757 1.2561 7.7360
Te 6.5270 3.7684 4.0029
La 2.1757 1.2561 1.9857
CELL_PARAMETERS angstrom
4.3513 0.0000 0.0000
2.1757 3.7684 0.0000
2.1757 1.2561 7.8138

[20]
! PNF2 SCAN PBEsol geometry; values from VASP
! * space group: Pnma, No. 62
! * E_form (uncorrected): -1.93 eV/atom
&SYSTEM
  ibrav = 0, nat = 48, ntyp = 3
/
ATOMIC_SPECIES
P 30.97 P.upf
N 14.01 N.upf
F 19.00 F.upf
ATOMIC_POSITIONS angstrom
P 1.1804 3.5586 1.7589
P 2.3227 7.9733 7.6744
P 2.3228 7.9731 10.4074
P 0.7648 3.8993 9.0409
P 6.2413 4.9301 3.1254
P 4.2679 0.5154 9.0409
P 2.7382 8.3140 3.1254
P 5.8259 5.2710 10.4074
P 5.8257 5.2707 7.6744
P 4.6833 0.8563 4.4919
P 4.6834 0.8561 1.7589
P 1.1802 3.5584 4.4919
N 1.8054 3.0817 3.1254
N 0.1000 4.3468 10.3945
N 3.4030 8.7615 1.7717
N 3.6032 0.0679 7.6873
N 5.3085 1.3330 3.1254
N 6.9061 4.4826 4.4790
N 0.1001 4.3468 7.6873
N 6.9060 4.4825 1.7717
N 3.6031 0.0679 10.3945
N 3.4030 8.7615 4.4790
N 1.6976 7.4964 9.0409
N 5.2007 5.7477 9.0409
F 6.0935 6.5091 6.7842
F 2.5909 6.7346 11.2973
F 5.7710 0.1463 9.0409
F 0.9126 2.3203 0.8687
F 5.7845 0.1866 5.3470
F 2.2814 4.2281 5.3470
F 0.9121 2.3199 5.3817
F 4.4152 2.0948 5.3817
F 1.2351 8.6831 3.1253
F 0.9279 2.3524 9.0410
F 5.7847 0.1860 0.9040
F 2.5752 6.7671 3.1255
F 6.0940 6.5095 11.2973
F 1.2217 8.6428 11.2626
F 4.4157 2.0944 0.8687
F 1.2215 8.6434 6.8196
F 6.0782 6.4770 3.1255
F 2.2679 4.2684 9.0409
F 2.5905 6.7350 6.7842
F 4.4309 2.0623 9.0410
F 2.2816 4.2287 0.9040
F 4.7245 4.6007 6.8196
F 4.7382 4.5610 3.1253
F 4.7247 4.6013 11.2626
CELL_PARAMETERS angstrom
7.0061 0.0000 0.0000
0.0000 8.8294 0.0000
0.0000 0.0000 11.8311

[21]
! BaLaBe2O SCAN PBEsol geometry; values from VASP
! * space group: P4/mmm, No. 123
! * E_form (uncorrected): 0.58 eV/atom
&SYSTEM
  ibrav = 0, nat = 5, ntyp = 4
/
ATOMIC_SPECIES
Be 9.01 Be.upf
Ba 137.33 Ba.upf
O 16.00 O.upf
La 138.91 La.upf
ATOMIC_POSITIONS angstrom
Be -1.6042 -2.1438 0.2692
Be 1.8458 -1.5341 -1.2172
Ba 0.0000 0.0000 0.0000
O -0.9519 0.4584 -2.0213
La -0.7103 -3.2195 -2.9692
CELL_PARAMETERS angstrom
-1.9038 0.9169 -4.0426
3.6917 -3.0682 -2.4344
-3.2084 -4.2877 0.5385

[22]
! Al2RePt SCAN PBEsol geometry; values from VASP
! * ΔH_f (0 K): -2.097 eV per formula unit
! * space group: Pmm2, No. 25
&SYSTEM
  ibrav = 0, nat = 4, ntyp = 3
/
ATOMIC_SPECIES
Re 186.21 Re.upf
Al 26.98 Al.upf
Pt 195.08 Pt.upf
ATOMIC_POSITIONS angstrom
Re 3.9141 -1.3425 2.4719
Al 3.4665 0.8246 3.8890
Al 2.1144 -1.7706 0.4528
Pt 1.6547 0.3936 1.8564
CELL_PARAMETERS angstrom
-0.5324 -2.4813 1.0007
2.8598 -1.5123 -2.2284
3.5289 0.8394 3.9591

[23]
! BaSr4U3O14 SCAN PBEsol geometry; values from VASP
! * space group: Cmce, No. 64
! * E_form (uncorrected): -3.43 eV/atom
&SYSTEM
  ibrav = 0, nat = 44, ntyp = 4
/
ATOMIC_SPECIES
Ba 137.33 Ba.upf
Sr 87.62 Sr.upf
U 238.03 U.upf
O 16.00 O.upf
ATOMIC_POSITIONS angstrom
Ba 0.0000 0.0000 5.4778
Ba 4.0034 3.9979 0.0000
Sr 5.8351 6.1670 8.2167
Sr 6.0160 1.9825 8.4945
Sr 5.9971 2.0014 3.0167
Sr 2.0096 5.9944 7.9389
Sr 1.9907 6.0133 2.4611
Sr 6.1750 5.8267 2.7389
Sr 1.8318 2.1691 8.2167
Sr 2.1716 1.8288 2.7389
U 4.0034 3.9979 5.4778
U 0.0000 0.0000 0.0000
U 4.0049 -0.0070 5.4778
U -0.0015 4.0049 0.0000
U -0.0015 4.0049 5.4778
U 4.0049 -0.0070 0.0000
O 6.4638 4.2537 9.6618
O 7.7476 5.5357 6.7716
O 2.4604 0.2558 6.7716
O 0.0525 1.9757 10.1447
O 4.5223 3.4782 7.2854
O 6.5117 3.7339 1.3623
O 0.2592 2.4600 4.1840
O 1.5430 3.7421 1.2938
O 4.2639 1.4892 1.3623
O 7.7492 2.4947 6.8401
O 7.9542 6.0201 0.8109
O 4.2625 6.4579 1.2938
O 1.4950 4.2619 9.5933
O 5.5014 0.2500 6.8401
O 3.4844 4.5176 3.6702
O 1.9758 0.0498 0.8109
O 0.5159 7.4902 9.1480
O 7.4908 0.5056 1.8076
O 2.0276 3.9481 6.2887
O 6.0310 7.9460 10.1447
O 3.9508 2.0222 4.6669
O 4.0559 5.9736 6.2887
O 5.5464 7.7400 4.1840
O 5.9792 4.0477 4.6669
O 2.5053 7.7458 4.1155
O 3.7428 6.5066 9.5933
O 3.7442 1.5379 9.6618
O 0.2575 5.5011 4.1155
CELL_PARAMETERS angstrom
8.0098 -0.0140 0.0000
-0.0031 8.0098 0.0000
0.0000 0.0000 10.9556